[1]
Crystalline MgTcW2 at its relaxed geometry. Source: Alexandria via LeMat-Bulk, functional GGA-PBE. Values from VASP.

Cell and atoms, written as Quantum ESPRESSO input:
```
&SYSTEM
  ibrav = 0, nat = 4, ntyp = 3
/
ATOMIC_SPECIES
Mg 24.30 Mg.upf
Tc 98.00 Tc.upf
W 183.84 W.upf
CELL_PARAMETERS angstrom
-1.566 2.286 4.483
1.566 -2.286 4.483
1.566 2.286 -4.483
ATOMIC_POSITIONS crystal
Mg 0.000 0.000 0.000
Tc 0.258 0.758 0.500
W 0.491 0.491 0.000
W 0.730 0.230 0.500
```

Summary:
- E_form: 0.28 eV per atom
- Space group: No. 44
- Calculated total energy: -36.8 eV per cell
- M_tot: 0.000 Bohr magnetons per cell


[2]
Crystalline MgTc4W at its relaxed geometry. Source: Alexandria via LeMat-Bulk, functional GGA-PBE. Values from VASP.

Cell and atoms, written as Quantum ESPRESSO input:
```
&SYSTEM
  ibrav = 0, nat = 6, ntyp = 3
/
ATOMIC_SPECIES
Mg 24.30 Mg.upf
Tc 98.00 Tc.upf
W 183.84 W.upf
CELL_PARAMETERS angstrom
0.000 3.626 3.626
3.626 0.000 3.626
3.626 3.626 0.000
ATOMIC_POSITIONS crystal
Mg 0.000 0.000 0.000
Tc 0.124 0.625 0.625
Tc 0.625 0.124 0.625
Tc 0.625 0.625 0.124
Tc 0.625 0.625 0.625
W 0.250 0.250 0.250
```

Summary:
- E_form: 0.20 eV per atom
- Space group: No. 216
- Calculated total energy: -54.8 eV per cell
- M_tot: 0.000 Bohr magnetons per cell


[3]
Crystalline MgTcW at its relaxed geometry. Source: Alexandria via LeMat-Bulk, functional GGA-PBE. Values from VASP.

Cell and atoms, written as Quantum ESPRESSO input:
```
&SYSTEM
  ibrav = 0, nat = 3, ntyp = 3
/
ATOMIC_SPECIES
Mg 24.30 Mg.upf
Tc 98.00 Tc.upf
W 183.84 W.upf
CELL_PARAMETERS angstrom
-1.595 1.595 4.895
1.595 -1.595 4.895
1.595 1.595 -4.895
ATOMIC_POSITIONS crystal
Mg 0.000 0.000 0.000
Tc 0.319 0.319 0.000
W 0.690 0.690 0.000
```

Summary:
- E_form: 0.17 eV per atom
- Space group: No. 107
- Polymorph energy (0 for the lowest one): 0 meV per atom
- Calculated total energy: -24.4 eV per cell
- M_tot: 0.000 Bohr magnetons per cell


[4]
Crystalline Mg2TcW at its relaxed geometry. Source: Alexandria via LeMat-Bulk, functional GGA-PBE. Values from VASP.

Cell and atoms, written as Quantum ESPRESSO input:
```
&SYSTEM
  ibrav = 0, nat = 4, ntyp = 3
/
ATOMIC_SPECIES
Mg 24.30 Mg.upf
Tc 98.00 Tc.upf
W 183.84 W.upf
CELL_PARAMETERS angstrom
2.690 0.000 0.000
0.000 4.572 0.000
0.000 0.000 5.373
ATOMIC_POSITIONS crystal
Mg 0.000 0.000 0.248
Mg 0.000 0.000 0.752
Tc 0.500 0.500 0.000
W 0.500 0.500 0.500
```

Summary:
- E_form: 0.35 eV per atom
- Space group: No. 47
- Polymorph energy (0 for the lowest one): 239 meV per atom
- Calculated total energy: -25.1 eV per cell
- M_tot: 0.000 Bohr magnetons per cell


[5]
Crystalline Mg2TcW at its relaxed geometry. Source: Alexandria via LeMat-Bulk, functional GGA-PBE. Values from VASP.

Cell and atoms, written as Quantum ESPRESSO input:
```
&SYSTEM
  ibrav = 0, nat = 4, ntyp = 3
/
ATOMIC_SPECIES
Mg 24.30 Mg.upf
Tc 98.00 Tc.upf
W 183.84 W.upf
CELL_PARAMETERS angstrom
2.701 0.000 0.000
0.000 2.701 0.000
0.000 0.000 9.108
ATOMIC_POSITIONS crystal
Mg 0.000 0.000 0.246
Mg 0.000 0.000 0.754
Tc 0.500 0.500 0.000
W 0.500 0.500 0.500
```

Summary:
- E_form: 0.38 eV per atom
- Space group: No. 123
- Polymorph energy (0 for the lowest one): 268 meV per atom
- Calculated total energy: -25.0 eV per cell
- M_tot: 0.000 Bohr magnetons per cell


[6]
Crystalline MgTcW2 at its relaxed geometry. Source: Alexandria via LeMat-Bulk, functional GGA-PBE. Values from VASP.

Cell and atoms, written as Quantum ESPRESSO input:
```
&SYSTEM
  ibrav = 0, nat = 4, ntyp = 3
/
ATOMIC_SPECIES
Mg 24.30 Mg.upf
Tc 98.00 Tc.upf
W 183.84 W.upf
CELL_PARAMETERS angstrom
3.145 0.000 0.000
0.000 3.145 0.000
0.000 0.000 6.625
ATOMIC_POSITIONS crystal
Mg 0.000 0.000 0.000
Tc 0.500 0.500 0.261
W 0.000 0.000 0.480
W 0.500 0.500 0.720
```

Summary:
- E_form: 0.31 eV per atom
- Space group: No. 99
- Calculated total energy: -36.6 eV per cell
- M_tot: 0.000 Bohr magnetons per cell


[7]
Crystalline MgTcW2 at its relaxed geometry. Source: Alexandria via LeMat-Bulk, functional GGA-PBE. Values from VASP.

Cell and atoms, written as Quantum ESPRESSO input:
```
&SYSTEM
  ibrav = 0, nat = 4, ntyp = 3
/
ATOMIC_SPECIES
Mg 24.30 Mg.upf
Tc 98.00 Tc.upf
W 183.84 W.upf
CELL_PARAMETERS angstrom
1.417 0.818 9.431
-1.417 0.818 9.431
0.000 -1.636 9.431
ATOMIC_POSITIONS crystal
Mg 0.000 0.000 0.000
Tc 0.500 0.500 0.500
W 0.245 0.245 0.245
W 0.755 0.755 0.755
```

Summary:
- E_form: 0.36 eV per atom
- Space group: No. 166
- Calculated total energy: -36.4 eV per cell
- M_tot: 0.000 Bohr magnetons per cell


[8]
Crystalline MgTcW2 at its relaxed geometry. Source: Alexandria via LeMat-Bulk, functional GGA-PBE. Values from VASP.

Cell and atoms, written as Quantum ESPRESSO input:
```
&SYSTEM
  ibrav = 0, nat = 4, ntyp = 3
/
ATOMIC_SPECIES
Mg 24.30 Mg.upf
Tc 98.00 Tc.upf
W 183.84 W.upf
CELL_PARAMETERS angstrom
2.708 0.000 0.000
0.000 4.528 0.000
-1.019 0.000 5.196
ATOMIC_POSITIONS crystal
Mg 0.000 0.000 0.000
Tc 0.500 0.000 0.500
W 0.270 0.500 0.748
W 0.730 0.500 0.252
```

Summary:
- E_form: 0.27 eV per atom
- Space group: No. 10
- Calculated total energy: -36.8 eV per cell
- M_tot: 0.000 Bohr magnetons per cell


[9]
Crystalline MgTcW2 at its relaxed geometry. Source: Alexandria via LeMat-Bulk, functional GGA-PBE. Values from VASP.

Cell and atoms, written as Quantum ESPRESSO input:
```
&SYSTEM
  ibrav = 0, nat = 4, ntyp = 3
/
ATOMIC_SPECIES
Mg 24.30 Mg.upf
Tc 98.00 Tc.upf
W 183.84 W.upf
CELL_PARAMETERS angstrom
-1.560 2.239 4.585
1.560 -2.239 4.585
1.560 2.239 -4.585
ATOMIC_POSITIONS crystal
Mg 0.000 0.000 0.000
Tc 0.500 0.500 0.000
W 0.267 0.767 0.500
W 0.733 0.233 0.500
```

Summary:
- E_form: 0.21 eV per atom
- Space group: No. 71
- Calculated total energy: -37.0 eV per cell
- M_tot: 0.000 Bohr magnetons per cell


[10]
Crystalline MgTcW at its relaxed geometry. Source: Alexandria via LeMat-Bulk, functional GGA-PBE. Values from VASP.

Cell and atoms, written as Quantum ESPRESSO input:
```
&SYSTEM
  ibrav = 0, nat = 3, ntyp = 3
/
ATOMIC_SPECIES
Mg 24.30 Mg.upf
Tc 98.00 Tc.upf
W 183.84 W.upf
CELL_PARAMETERS angstrom
4.486 0.000 0.000
-2.243 3.885 0.000
0.000 0.000 2.729
ATOMIC_POSITIONS crystal
Mg 0.000 0.000 0.000
Tc 0.667 0.333 0.359
W 0.333 0.667 0.602
```

Summary:
- E_form: 0.17 eV per atom
- Space group: No. 156
- Polymorph energy (0 for the lowest one): 6 meV per atom
- Calculated total energy: -24.4 eV per cell
- M_tot: 0.000 Bohr magnetons per cell


[11]
Crystalline Mg2TcW at its relaxed geometry. Source: Alexandria via LeMat-Bulk, functional GGA-PBE. Values from VASP.

Cell and atoms, written as Quantum ESPRESSO input:
```
&SYSTEM
  ibrav = 0, nat = 4, ntyp = 3
/
ATOMIC_SPECIES
Mg 24.30 Mg.upf
Tc 98.00 Tc.upf
W 183.84 W.upf
CELL_PARAMETERS angstrom
2.708 0.000 0.000
0.000 4.679 0.000
-1.338 0.000 5.216
ATOMIC_POSITIONS crystal
Mg 0.216 0.000 0.254
Mg 0.784 0.000 0.746
Tc 0.000 0.500 0.500
W 0.500 0.500 0.000
```

Summary:
- E_form: 0.33 eV per atom
- Space group: No. 10
- Polymorph energy (0 for the lowest one): 218 meV per atom
- Calculated total energy: -25.2 eV per cell
- M_tot: 0.000 Bohr magnetons per cell


[12]
Crystalline MgTcW2 at its relaxed geometry. Source: Alexandria via LeMat-Bulk, functional GGA-PBE. Values from VASP.

Cell and atoms, written as Quantum ESPRESSO input:
```
&SYSTEM
  ibrav = 0, nat = 4, ntyp = 3
/
ATOMIC_SPECIES
Mg 24.30 Mg.upf
Tc 98.00 Tc.upf
W 183.84 W.upf
CELL_PARAMETERS angstrom
2.691 -4.394 0.000
2.691 4.394 0.000
0.000 0.000 2.720
ATOMIC_POSITIONS crystal
Mg 0.000 0.000 0.000
Tc 0.500 0.500 0.000
W 0.000 0.500 0.500
W 0.500 0.000 0.500
```

Summary:
- E_form: 0.43 eV per atom
- Space group: No. 65
- Calculated total energy: -36.2 eV per cell
- M_tot: 0.000 Bohr magnetons per cell


[13]
Crystalline Mg2ZnTcW at its relaxed geometry. Source: Alexandria via LeMat-Bulk, functional GGA-PBE. Values from VASP.

Cell and atoms, written as Quantum ESPRESSO input:
```
&SYSTEM
  ibrav = 0, nat = 5, ntyp = 4
/
ATOMIC_SPECIES
Mg 24.30 Mg.upf
Zn 65.41 Zn.upf
Tc 98.00 Tc.upf
W 183.84 W.upf
CELL_PARAMETERS angstrom
5.102 0.000 0.000
0.000 5.102 0.000
0.000 0.000 4.799
ATOMIC_POSITIONS crystal
Mg 0.000 0.500 0.000
Mg 0.500 0.000 0.000
Zn 0.000 0.000 0.500
Tc 0.500 0.500 0.500
W 0.000 0.000 0.000
```

Summary:
- E_form: 1.89 eV per atom
- Space group: No. 123
- Calculated total energy: -18.3 eV per cell
- M_tot: 2.772 Bohr magnetons per cell


[14]
Crystalline MgZnTc2W at its relaxed geometry. Source: Alexandria via LeMat-Bulk, functional GGA-PBE. Values from VASP.

Cell and atoms, written as Quantum ESPRESSO input:
```
&SYSTEM
  ibrav = 0, nat = 5, ntyp = 4
/
ATOMIC_SPECIES
Mg 24.30 Mg.upf
Zn 65.41 Zn.upf
Tc 98.00 Tc.upf
W 183.84 W.upf
CELL_PARAMETERS angstrom
4.492 0.000 0.000
0.000 4.492 0.000
0.000 0.000 4.615
ATOMIC_POSITIONS crystal
Mg 0.000 0.000 0.000
Zn 0.500 0.500 0.500
Tc 0.000 0.500 0.000
Tc 0.500 0.000 0.000
W 0.000 0.000 0.500
```

Summary:
- E_form: 2.20 eV per atom
- Space group: No. 123
- Calculated total energy: -25.6 eV per cell
- M_tot: 0.467 Bohr magnetons per cell


[15]
Crystalline Y6MgTc2 at its relaxed geometry. Source: Alexandria via LeMat-Bulk, functional GGA-PBE. Values from VASP.

Cell and atoms, written as Quantum ESPRESSO input:
```
&SYSTEM
  ibrav = 0, nat = 18, ntyp = 3
/
ATOMIC_SPECIES
Y 88.91 Y.upf
Mg 24.30 Mg.upf
Tc 98.00 Tc.upf
CELL_PARAMETERS angstrom
-4.825 4.828 5.242
4.825 -4.828 5.242
4.825 4.828 -5.242
ATOMIC_POSITIONS crystal
Y 0.017 0.814 0.204
Y 0.234 0.521 0.287
Y 0.234 0.947 0.713
Y 0.283 0.310 0.593
Y 0.283 0.690 0.973
Y 0.390 0.186 0.204
Y 0.610 0.814 0.796
Y 0.717 0.310 0.027
Y 0.717 0.690 0.407
Y 0.766 0.053 0.287
Y 0.766 0.479 0.713
Y 0.983 0.186 0.796
Mg 0.000 0.500 0.500
Mg 0.500 0.000 0.500
Tc 0.000 0.128 0.128
Tc 0.000 0.872 0.872
Tc 0.387 0.387 0.000
Tc 0.613 0.613 0.000
```

Summary:
- E_form: -0.06 eV per atom
- Space group: No. 71
- Calculated total energy: -123.3 eV per cell
- M_tot: 0.001 Bohr magnetons per cell


[16]
Crystalline YMgTc2 at its relaxed geometry. Source: Alexandria via LeMat-Bulk, functional GGA-PBE. Values from VASP.

Cell and atoms, written as Quantum ESPRESSO input:
```
&SYSTEM
  ibrav = 0, nat = 4, ntyp = 3
/
ATOMIC_SPECIES
Y 88.91 Y.upf
Mg 24.30 Mg.upf
Tc 98.00 Tc.upf
CELL_PARAMETERS angstrom
1.513 0.874 9.313
-1.513 0.874 9.313
0.000 -1.747 9.313
ATOMIC_POSITIONS crystal
Y 0.000 0.000 0.000
Mg 0.500 0.500 0.500
Tc 0.247 0.247 0.247
Tc 0.753 0.753 0.753
```

Summary:
- E_form: 0.56 eV per atom
- Space group: No. 166
- Calculated total energy: -26.6 eV per cell
- M_tot: 0.935 Bohr magnetons per cell


[17]
Crystalline YMgTc2 at its relaxed geometry. Source: Alexandria via LeMat-Bulk, functional GGA-PBE. Values from VASP.

Cell and atoms, written as Quantum ESPRESSO input:
```
&SYSTEM
  ibrav = 0, nat = 4, ntyp = 3
/
ATOMIC_SPECIES
Y 88.91 Y.upf
Mg 24.30 Mg.upf
Tc 98.00 Tc.upf
CELL_PARAMETERS angstrom
4.031 0.000 0.000
0.000 4.031 0.000
0.000 0.000 4.492
ATOMIC_POSITIONS crystal
Y 0.000 0.000 0.000
Mg 0.500 0.500 0.000
Tc 0.000 0.500 0.500
Tc 0.500 0.000 0.500
```

Summary:
- E_form: 0.34 eV per atom
- Space group: No. 123
- Calculated total energy: -27.4 eV per cell
- M_tot: 0.001 Bohr magnetons per cell


[18]
Crystalline YMg2Tc at its relaxed geometry. Source: Alexandria via LeMat-Bulk, functional GGA-PBE. Values from VASP.

Cell and atoms, written as Quantum ESPRESSO input:
```
&SYSTEM
  ibrav = 0, nat = 4, ntyp = 3
/
ATOMIC_SPECIES
Y 88.91 Y.upf
Mg 24.30 Mg.upf
Tc 98.00 Tc.upf
CELL_PARAMETERS angstrom
3.944 0.000 0.000
0.000 4.361 0.000
0.000 0.000 4.848
ATOMIC_POSITIONS crystal
Y 0.000 0.000 0.000
Mg 0.000 0.500 0.500
Mg 0.500 0.000 0.500
Tc 0.500 0.500 0.000
```

Summary:
- E_form: 0.19 eV per atom
- Space group: No. 47
- Polymorph energy (0 for the lowest one): 103 meV per atom
- Calculated total energy: -19.3 eV per cell
- M_tot: 0.258 Bohr magnetons per cell


[19]
Crystalline YMg2Tc at its relaxed geometry. Source: Alexandria via LeMat-Bulk, functional GGA-PBE. Values from VASP.

Cell and atoms, written as Quantum ESPRESSO input:
```
&SYSTEM
  ibrav = 0, nat = 4, ntyp = 3
/
ATOMIC_SPECIES
Y 88.91 Y.upf
Mg 24.30 Mg.upf
Tc 98.00 Tc.upf
CELL_PARAMETERS angstrom
1.819 -2.327 0.000
1.819 2.327 0.000
0.000 0.000 9.825
ATOMIC_POSITIONS crystal
Y 0.000 0.000 0.000
Mg 0.500 0.500 0.289
Mg 0.500 0.500 0.711
Tc 0.000 0.000 0.500
```

Summary:
- E_form: 0.31 eV per atom
- Space group: No. 65
- Polymorph energy (0 for the lowest one): 219 meV per atom
- Calculated total energy: -18.8 eV per cell
- M_tot: 0.000 Bohr magnetons per cell


[20]
Crystalline YMg2Tc at its relaxed geometry. Source: Alexandria via LeMat-Bulk, functional GGA-PBE. Values from VASP.

Cell and atoms, written as Quantum ESPRESSO input:
```
&SYSTEM
  ibrav = 0, nat = 4, ntyp = 3
/
ATOMIC_SPECIES
Y 88.91 Y.upf
Mg 24.30 Mg.upf
Tc 98.00 Tc.upf
CELL_PARAMETERS angstrom
3.024 0.000 0.000
0.000 4.894 0.000
-1.490 0.000 5.564
ATOMIC_POSITIONS crystal
Y 0.000 0.000 0.000
Mg 0.398 0.500 0.719
Mg 0.602 0.500 0.281
Tc 0.000 0.000 0.500
```

Summary:
- E_form: 0.18 eV per atom
- Space group: No. 10
- Polymorph energy (0 for the lowest one): 94 meV per atom
- Calculated total energy: -19.3 eV per cell
- M_tot: 0.000 Bohr magnetons per cell